A relaxed SbPd15 crystal, computed with PBE-GGA.

The structure in CIF format:
```
data_SbPd15
_cell_length_a 5.522
_cell_length_b 2.814
_cell_length_c 43.747
_cell_angle_alpha 90.00
_cell_angle_beta 90.04
_cell_angle_gamma 90.00
_space_group_name_H-M_alt 'P 1 21/m 1'
_space_group_IT_number 11
loop_
_space_group_symop_operation_xyz
'x,y,z'
'-x,-y,-z'
'-x,y+1/2,-z'
'x,-y+1/2,z'
loop_
_atom_site_label
_atom_site_type_symbol
_atom_site_fract_x
_atom_site_fract_y
_atom_site_fract_z
_atom_site_occupancy
Sb1 Sb 0.125 0.250 0.163 1
Pd1 Pd 0.125 0.250 0.254 1
Pd2 Pd 0.125 0.250 0.345 1
Pd3 Pd 0.125 0.250 0.434 1
Pd4 Pd 0.125 0.250 0.522 1
Pd5 Pd 0.125 0.250 0.611 1
Pd6 Pd 0.125 0.250 0.700 1
Pd7 Pd 0.127 0.250 0.792 1
Pd8 Pd 0.375 0.750 0.300 1
Pd9 Pd 0.375 0.750 0.389 1
Pd10 Pd 0.375 0.750 0.478 1
Pd11 Pd 0.375 0.750 0.566 1
Pd12 Pd 0.375 0.750 0.656 1
Pd13 Pd 0.375 0.750 0.746 1
Pd14 Pd 0.375 0.750 0.838 1
Pd15 Pd 0.376 0.750 0.208 1
```

VASP energy   -5.118 eV per atom
Crystal system   monoclinic
Density   8.4 g cm⁻³
Distance to the lowest polymorph of the same formula   0.0358 eV per atom